This record from Alexandria via LeMat-Bulk describes MgSc2Si at its PBEsol-relaxed geometry. The functional is meta-GGA SCAN.

Geometry as POSCAR:
```
MgSc2Si
1.0
4.2827 0.0000 0.0000
0.0000 1.6799 5.5230
0.0000 -1.6799 5.5230
Mg Sc Si
1 2 1
Direct
0.0000 0.0000 0.0000
0.0000 0.7281 0.7281
0.5000 0.4024 0.4024
0.5000 0.1438 0.1438
```

Properties
uncorrected formation energy: -297.9 meV/atom

This record from Alexandria via LeMat-Bulk describes MgScSi2 at its PBEsol-relaxed geometry. The functional is meta-GGA SCAN.

Geometry as POSCAR:
```
MgScSi2
1.0
3.5962 0.0000 0.0000
0.0000 3.5962 0.0000
0.0000 0.0000 5.4729
Mg Sc Si
1 1 2
Direct
0.0000 0.0000 0.0000
0.5000 0.5000 0.2994
0.0000 0.0000 0.5141
0.5000 0.5000 0.7774
```

Properties
uncorrected formation energy: -50.2 meV/atom

This record from Alexandria via LeMat-Bulk describes MgSc2Si at its PBEsol-relaxed geometry. The functional is meta-GGA SCAN.

Geometry as POSCAR:
```
MgSc2Si
1.0
3.1794 0.0000 0.0000
0.0000 3.8121 0.0000
0.0000 0.0000 6.3666
Mg Sc Si
1 2 1
Direct
0.0000 0.0000 0.0000
0.5000 0.5000 0.2726
0.5000 0.5000 0.7274
0.0000 0.0000 0.5000
```

Properties
uncorrected formation energy: -360.5 meV/atom

This record from Alexandria via LeMat-Bulk describes MgSc2Si at its PBEsol-relaxed geometry. The functional is meta-GGA SCAN.

Geometry as POSCAR:
```
MgSc2Si
1.0
4.3690 0.0000 0.0000
0.0000 4.3690 0.0000
0.0000 0.0000 3.9668
Mg Sc Si
1 2 1
Direct
0.0000 0.0000 0.0000
0.0000 0.5000 0.5000
0.5000 0.0000 0.5000
0.5000 0.5000 0.0000
```

Properties
uncorrected formation energy: -361.8 meV/atom

This record from Alexandria via LeMat-Bulk describes SrMg2Sc at its PBEsol-relaxed geometry. The functional is meta-GGA SCAN.

Geometry as POSCAR:
```
SrMg2Sc
1.0
-1.7968 2.8079 5.6119
1.7968 -2.8079 5.6119
1.7968 2.8079 -5.6119
Sr Mg Sc
1 2 1
Direct
0.0000 0.0000 0.0000
0.2655 0.7655 0.5000
0.4830 0.4830 0.0000
0.7135 0.2135 0.5000
```

Properties
formation energy from the elements: 0.126 eV per atom
offset from the most stable computed form: 129.9 meV/atom

This record from Alexandria via LeMat-Bulk describes SrMgSc2 at its PBEsol-relaxed geometry. The functional is meta-GGA SCAN.

Geometry as POSCAR:
```
SrMgSc2
1.0
3.3163 -5.7544 0.0000
3.3163 5.7544 0.0000
-1.4331 0.0000 2.9259
Sr Mg Sc
1 1 2
Direct
0.0000 0.0000 0.0000
0.5000 0.5000 0.0000
0.0000 0.5000 0.5000
0.5000 0.0000 0.5000
```

Properties
formation energy from the elements: 0.294 eV per atom